Record 1
LaB: relaxed, GGA-PBE.

Output
**Relative energy among the computed polymorphs**: 52 meV per atom
**Calculated formation energy**: -0.50 eV/f.u.
**DFT total energy**: -6.051 eV/atom

Cell lengths 7.9644, 5.9585, 7.1594 Å; angles 90.00, 90.00, 90.00 degrees
Positions (direct):
B: 0.4353 0.3896 0.0026
B: 0.9353 0.1104 0.4974
B: 0.9353 0.3896 0.4974
La: 0.7113 0.2500 0.8055
B: 0.0647 0.6104 0.5026
La: 0.7887 0.7500 0.3055
La: 0.3928 0.7500 0.6818
La: 0.2113 0.2500 0.6945
B: 0.5647 0.8896 0.9974
B: 0.0647 0.8896 0.5026
La: 0.1072 0.2500 0.1818
B: 0.5647 0.6104 0.9974
La: 0.6072 0.2500 0.3182
B: 0.4353 0.1104 0.0026
La: 0.8928 0.7500 0.8182
La: 0.2887 0.7500 0.1945


Record 2
LaB: relaxed, GGA-PBE.

Output
**Relative energy among the computed polymorphs**: 673 meV per atom
**Calculated formation energy**: 0.74 eV/f.u.
**DFT total energy**: -5.430 eV/atom

Cell lengths 4.6499, 3.8032, 13.9542 Å; angles 90.00, 90.00, 90.00 degrees
Positions (direct):
La: 0.0000 0.6327 0.1663
B: 0.0000 0.0000 0.3327
B: 0.5000 0.0000 0.1673
B: 0.5000 0.0007 0.5000
B: 0.5000 0.0000 0.8327
La: 0.5000 0.3673 0.3337
B: 0.0000 0.0000 0.6673
La: 0.5000 0.3639 0.0000
La: 0.0000 0.6361 0.5000
La: 0.5000 0.3673 0.6663
La: 0.0000 0.6327 0.8337
B: 0.0000 0.9993 0.0000


Record 3
LaB: relaxed, GGA-PBE.

Output
**Relative energy among the computed polymorphs**: 298 meV per atom
**Calculated formation energy**: 0.00 eV/f.u.
**DFT total energy**: -5.805 eV/atom

Cell lengths 6.5369, 9.0867, 10.9216 Å; angles 90.00, 90.00, 90.00 degrees
Positions (direct):
B: 0.3721 0.2500 0.2500
B: 0.8721 0.2500 0.7500
B: 0.6221 0.0000 0.0000
La: 0.2500 0.4505 0.7500
B: 0.3779 0.5000 0.5000
La: 0.5000 0.7005 0.0000
La: 0.2500 0.9505 0.2500
B: 0.6221 0.5000 0.5000
B: 0.8779 0.5000 0.0000
B: 0.3779 0.0000 0.0000
La: 0.0000 0.7005 0.5000
La: 0.0000 0.2995 0.5000
La: 0.7500 0.9505 0.7500
La: 0.7500 0.5495 0.7500
La: 0.7500 0.0495 0.2500
La: 0.7500 0.4505 0.2500
B: 0.1221 0.5000 0.0000
La: 0.5000 0.2995 0.0000
La: 0.0000 0.7995 0.0000
B: 0.8721 0.7500 0.2500
La: 0.2500 0.5495 0.2500
B: 0.1279 0.2500 0.2500
B: 0.8779 0.0000 0.5000
La: 0.5000 0.2005 0.5000
B: 0.1279 0.7500 0.7500
B: 0.6279 0.7500 0.2500
La: 0.0000 0.2005 0.0000
La: 0.5000 0.7995 0.5000
La: 0.2500 0.0495 0.7500
B: 0.1221 0.0000 0.5000
B: 0.3721 0.7500 0.7500
B: 0.6279 0.2500 0.7500


Record 4
LaB: relaxed, GGA-PBE.

Output
**Relative energy among the computed polymorphs**: 240 meV per atom
**Calculated formation energy**: -0.12 eV/f.u.
**DFT total energy**: -5.863 eV/atom

Cell lengths 7.3611, 7.3611, 5.2440 Å; angles 90.00, 90.00, 120.00 degrees
Positions (direct):
La: 0.7512 0.1124 0.2500
B: 0.2002 0.5347 0.2500
B: 0.3345 0.7998 0.2500
B: 0.6655 0.2002 0.7500
La: 0.8876 0.6388 0.2500
La: 0.6388 0.7512 0.7500
La: 0.3612 0.2488 0.2500
B: 0.7998 0.4653 0.7500
B: 0.4653 0.6655 0.2500
La: 0.1124 0.3612 0.7500
La: 0.2488 0.8876 0.7500
B: 0.5347 0.3345 0.7500


Record 5
LaB: relaxed, GGA-PBE.

Output
**Relative energy among the computed polymorphs**: 731 meV per atom
**Calculated formation energy**: 0.86 eV/f.u.
**DFT total energy**: -5.372 eV/atom

Cell lengths 3.4112, 3.4112, 3.4112 Å; angles 90.00, 90.00, 90.00 degrees
Positions (direct):
La: 0.5000 0.5000 0.5000
B: 0.0000 0.0000 0.0000


Record 6
LaB: relaxed, GGA-PBE.

Output
**Relative energy among the computed polymorphs**: 384 meV per atom
**Calculated formation energy**: 0.17 eV/f.u.
**DFT total energy**: -5.718 eV/atom

Cell lengths 5.9165, 5.9165, 5.2122 Å; angles 90.00, 90.00, 90.00 degrees
Positions (direct):
B: 0.4030 0.5970 0.0000
La: 0.6938 0.3062 0.5000
La: 0.3062 0.6938 0.5000
B: 0.9030 0.9030 0.5000
B: 0.0970 0.0970 0.5000
La: 0.1938 0.1938 0.0000
B: 0.5970 0.4030 0.0000
La: 0.8062 0.8062 0.0000


Record 7
LaB: relaxed, GGA-PBE.

Output
**Relative energy among the computed polymorphs**: 1004 meV per atom
**Calculated formation energy**: 1.41 eV/f.u.
**DFT total energy**: -5.099 eV/atom

Cell lengths 4.8592, 4.8592, 5.1828 Å; angles 90.00, 90.00, 120.00 degrees
Positions (direct):
B: 0.3333 0.6667 0.2500
La: 0.3333 0.6667 0.7500
La: 0.6667 0.3333 0.2500
B: 0.6667 0.3333 0.7500


Record 8
LaB: relaxed, GGA-PBE.

Output
**Relative energy among the computed polymorphs**: 416 meV per atom
**Calculated formation energy**: 0.23 eV/f.u.
**DFT total energy**: -5.687 eV/atom

Cell lengths 3.7042, 5.9412, 4.1088 Å; angles 90.00, 90.28, 90.00 degrees
Positions (direct):
B: 0.0661 0.8652 0.2788
B: 0.0661 0.1348 0.2788
La: 0.5616 0.0000 0.7952
La: 0.5759 0.5000 0.4032


Record 9
LaB4: relaxed, GGA-PBE.

Output
**Relative energy among the computed polymorphs**: 3823 meV per atom
**Calculated formation energy**: 16.28 eV/f.u.
**DFT total energy**: -3.071 eV/atom

Cell lengths 4.8293, 4.8293, 4.8293 Å; angles 90.00, 90.00, 90.00 degrees
Positions (direct):
B: 0.5000 0.5000 0.0000
B: 0.0000 0.5000 0.5000
B: 0.0000 0.0000 0.0000
La: 0.5000 0.5000 0.5000
B: 0.5000 0.0000 0.5000


Record 10
LaB: relaxed, GGA-PBE.

Output
**Relative energy among the computed polymorphs**: 1202 meV per atom
**Calculated formation energy**: 1.80 eV/f.u.
**DFT total energy**: -4.901 eV/atom

Cell lengths 7.3667, 7.3667, 7.3667 Å; angles 90.00, 90.00, 90.00 degrees
Positions (direct):
B: 0.7500 0.5000 0.0000
B: 0.0000 0.7500 0.5000
La: 0.0000 0.5000 0.7500
La: 0.5000 0.2500 0.0000
B: 0.0000 0.2500 0.5000
B: 0.2500 0.5000 0.0000
La: 0.0000 0.5000 0.2500
La: 0.5000 0.7500 0.0000
B: 0.5000 0.0000 0.2500
B: 0.5000 0.0000 0.7500
La: 0.2500 0.0000 0.5000
La: 0.7500 0.0000 0.5000


Record 11
LaB: relaxed, GGA-PBE.

Output
**Relative energy among the computed polymorphs**: 0 meV per atom
**Calculated formation energy**: -0.60 eV/f.u.
**DFT total energy**: -6.103 eV/atom

Cell lengths 3.2315, 3.7693, 7.5596 Å; angles 104.16, 90.00, 90.00 degrees
Positions (direct):
B: 0.2500 0.9831 0.9658
La: 0.7500 0.3828 0.7612
B: 0.7500 0.0169 0.0342
La: 0.2500 0.6172 0.2388


Record 12
LaB: relaxed, GGA-PBE.

Output
**Relative energy among the computed polymorphs**: 441 meV per atom
**Calculated formation energy**: 0.28 eV/f.u.
**DFT total energy**: -5.662 eV/atom

Cell lengths 7.8475, 7.8475, 7.8475 Å; angles 90.00, 90.00, 90.00 degrees
Each line ends with the local moment (μB).
Positions (direct):
B: 0.9218 0.0782 0.9218  0.00
B: 0.0782 0.0782 0.0782  0.00
La: 0.2057 0.2057 0.7943  0.08
B: 0.0782 0.9218 0.9218  0.00
La: 0.2943 0.2943 0.2943  0.08
B: 0.4218 0.4218 0.5782  0.00
La: 0.7943 0.7943 0.7943  0.08
La: 0.2943 0.7057 0.7057  0.08
B: 0.5782 0.4218 0.4218  0.00
La: 0.2057 0.7943 0.2057  0.08
B: 0.5782 0.5782 0.5782  0.00
La: 0.7057 0.2943 0.7057  0.08
La: 0.7943 0.2057 0.2057  0.08
La: 0.7057 0.7057 0.2943  0.08
B: 0.4218 0.5782 0.4218  0.00
B: 0.9218 0.9218 0.0782  0.00


Record 13
LaB4: relaxed, GGA-PBE.

Output
**Relative energy among the computed polymorphs**: 0 meV per atom
**Calculated formation energy**: -2.84 eV/f.u.
**DFT total energy**: -6.894 eV/atom

Cell lengths 7.3101, 7.3101, 4.1833 Å; angles 90.00, 90.00, 90.00 degrees
Positions (direct):
B: 0.5391 0.3264 0.5000
B: 0.4116 0.9116 0.5000
B: 0.8264 0.0391 0.5000
B: 0.9609 0.8264 0.5000
La: 0.3164 0.1836 0.0000
B: 0.5000 0.5000 0.2063
B: 0.0884 0.4116 0.5000
B: 0.5884 0.0884 0.5000
B: 0.4609 0.6736 0.5000
B: 0.0391 0.1736 0.5000
B: 0.5000 0.5000 0.7937
B: 0.0000 0.0000 0.7937
B: 0.0000 0.0000 0.2063
B: 0.9116 0.5884 0.5000
La: 0.1836 0.6836 0.0000
B: 0.3264 0.4609 0.5000
B: 0.1736 0.9609 0.5000
B: 0.6736 0.5391 0.5000
La: 0.8164 0.3164 0.0000
La: 0.6836 0.8164 0.0000


Record 14
LaB: relaxed, GGA-PBE.

Output
**Relative energy among the computed polymorphs**: 849 meV per atom
**Calculated formation energy**: 1.10 eV/f.u.
**DFT total energy**: -5.254 eV/atom

Cell lengths 5.6910, 5.6910, 5.6910 Å; angles 90.00, 90.00, 90.00 degrees
Each line ends with the local moment (μB).
Positions (direct):
La: 0.5000 0.5000 0.5000  0.34
B: 0.5000 0.0000 0.5000  0.33
B: 0.0000 0.5000 0.5000  0.33
B: 0.5000 0.5000 0.0000  0.33
La: 0.0000 0.0000 0.5000  0.34
La: 0.0000 0.5000 0.0000  0.34
B: 0.0000 0.0000 0.0000  0.33
La: 0.5000 0.0000 0.0000  0.34


Record 15
LaB6: relaxed, GGA-PBE.

Output
**Calculated formation energy**: -3.93 eV/f.u.
**DFT total energy**: -6.988 eV/atom

Cell lengths 4.1551, 4.1551, 4.1551 Å; angles 90.00, 90.00, 90.00 degrees
Positions (direct):
B: 0.8003 0.5000 0.5000
B: 0.5000 0.8003 0.5000
B: 0.5000 0.5000 0.8003
La: 0.0000 0.0000 0.0000
B: 0.5000 0.5000 0.1997
B: 0.5000 0.1997 0.5000
B: 0.1997 0.5000 0.5000


Record 16
LaB: relaxed, GGA-PBE.

Output
**Relative energy among the computed polymorphs**: 221 meV per atom
**Calculated formation energy**: -0.16 eV/f.u.
**DFT total energy**: -5.882 eV/atom

Cell lengths 3.9546, 4.6823, 4.6895 Å; angles 81.67, 77.90, 77.96 degrees
Positions (direct):
La: 0.8330 0.2792 0.2791
B: 0.5003 0.1314 0.8686
B: 0.4997 0.8686 0.1314
La: 0.1670 0.7208 0.7209


Record 17
LaB: relaxed, GGA-PBE.

Output
**Relative energy among the computed polymorphs**: 92 meV per atom
**Calculated formation energy**: -0.42 eV/f.u.
**DFT total energy**: -6.011 eV/atom

Cell lengths 10.0146, 10.0146, 3.3285 Å; angles 90.00, 90.00, 90.00 degrees
Positions (direct):
La: 0.2096 0.5000 0.5000
B: 0.3331 0.0000 0.5000
La: 0.5000 0.7904 0.5000
B: 0.0000 0.3331 0.5000
La: 0.1631 0.8369 0.0000
B: 0.0000 0.6669 0.5000
La: 0.5000 0.2096 0.5000
B: 0.6669 0.0000 0.5000
B: 0.0000 0.5924 0.0000
La: 0.1631 0.1631 0.0000
B: 0.5924 0.0000 0.0000
La: 0.8369 0.8369 0.0000
B: 0.4076 0.0000 0.0000
La: 0.7904 0.5000 0.5000
La: 0.8369 0.1631 0.0000
B: 0.0000 0.4076 0.0000


Record 18
LaB12: relaxed, GGA-PBE.

Output
**Calculated formation energy**: -2.24 eV/f.u.
**DFT total energy**: -6.715 eV/atom

Cell lengths 5.3941, 5.3941, 5.3941 Å; angles 60.00, 60.00, 60.00 degrees
Positions (direct):
B: 0.5000 0.5000 0.1641
B: 0.1641 0.8359 0.5000
B: 0.1641 0.5000 0.8359
B: 0.5000 0.1641 0.8359
La: 0.0000 0.0000 0.0000
B: 0.1641 0.5000 0.5000
B: 0.8359 0.1641 0.5000
B: 0.5000 0.8359 0.5000
B: 0.5000 0.5000 0.8359
B: 0.5000 0.1641 0.5000
B: 0.8359 0.5000 0.5000
B: 0.5000 0.8359 0.1641
B: 0.8359 0.5000 0.1641


Record 19
LaB: relaxed, GGA-PBE.

Output
**Relative energy among the computed polymorphs**: 379 meV per atom
**Calculated formation energy**: 0.16 eV/f.u.
**DFT total energy**: -5.724 eV/atom

Cell lengths 3.9365, 3.9365, 11.4216 Å; angles 90.00, 90.00, 90.00 degrees
Positions (direct):
B: 0.5000 0.0000 0.1798
B: 0.5000 0.0000 0.3202
La: 0.0000 0.0000 0.0000
B: 0.0000 0.5000 0.6798
La: 0.0000 0.5000 0.2500
B: 0.0000 0.5000 0.8202
La: 0.5000 0.5000 0.5000
La: 0.5000 0.0000 0.7500


Record 20
LaB: relaxed, GGA-PBE.

Output
**Relative energy among the computed polymorphs**: 324 meV per atom
**Calculated formation energy**: 0.05 eV/f.u.
**DFT total energy**: -5.779 eV/atom

Cell lengths 10.5956, 4.3543, 5.8035 Å; angles 90.00, 90.00, 90.00 degrees
Positions (direct):
B: 0.3530 0.0000 0.1417
B: 0.5000 0.0000 0.0548
B: 0.0000 0.5000 0.5548
La: 0.1845 0.5000 0.1728
B: 0.1470 0.5000 0.6417
La: 0.3155 0.0000 0.6728
B: 0.6470 0.0000 0.1417
La: 0.5000 0.5000 0.3182
La: 0.8155 0.5000 0.1728
B: 0.8530 0.5000 0.6417
La: 0.0000 0.0000 0.8182
La: 0.6845 0.0000 0.6728


Record 21
LiLaB3: relaxed, GGA-PBE.

Output
**Relative energy among the computed polymorphs**: 0 meV per atom
**Calculated formation energy**: 5.12 eV/f.u.
**DFT total energy**: -4.350 eV/atom

Cell lengths 4.0783, 4.0783, 4.0783 Å; angles 90.00, 90.00, 90.00 degrees
Positions (direct):
B: 0.5000 0.0000 0.0000
B: 0.0000 0.0000 0.5000
La: 0.5000 0.5000 0.5000
B: 0.0000 0.5000 0.0000
Li: 0.0000 0.0000 0.0000


Record 22
Li2LaB: relaxed, GGA-PBE.

Output
**Calculated formation energy**: 1.88 eV/f.u.
**DFT total energy**: -3.387 eV/atom

Cell lengths 4.3408, 4.3408, 8.7487 Å; angles 75.64, 75.64, 90.00 degrees
Positions (direct):
B: 0.2500 0.7500 0.5000
La: 0.0000 0.0000 0.0000
Li: 0.3715 0.6250 0.2500
Li: 0.8750 0.6285 0.7500
Li: 0.3750 0.6215 0.7500
La: 0.7500 0.2500 0.5000
Li: 0.3785 0.1250 0.2500
B: 0.5000 0.5000 0.0000